An optimized crystal structure of Tb5TlGa2. Source: the Alexandria database, functional PBE-GGA.

Unit cell a=7.770 b=7.770 c=14.460 alpha=90.00 beta=90.00 gamma=90.00
Space group I4/mcm (No. 140)
Asymmetric unit:
Tb 0.000 0.000 0.000 (multiplicity 4)
Tb 0.167 0.333 0.144 (multiplicity 16)
Tl 0.000 0.000 0.250 (multiplicity 4)
Ga 0.124 0.376 0.500 (multiplicity 8)

Total DFT energy (no corrections), eV per atom: -4.394
Magnetic moment, μB/f.u.: 0.0

---

An optimized crystal structure of Ba6Na8Ir. Source: the Alexandria database, functional PBE-GGA.

Unit cell a=8.9450 b=8.9450 c=31.4517 alpha=90.00 beta=90.00 gamma=120.00
Space group R-3 (No. 148, hexagonal axes)
Asymmetric unit:
Ba 0.0147 0.5544 0.2227 (multiplicity 18)
Na 0.0000 0.0000 0.2127 (multiplicity 6)
Na 0.0448 0.7965 0.6880 (multiplicity 18)
Ir 0.0000 0.0000 0.5000 (multiplicity 3)

Total DFT energy (no corrections), eV per atom: -2.099
Magnetic moment, μB/f.u.: 0.0

---

An optimized crystal structure of VZnBS2. Source: the Alexandria database, functional PBE-GGA.

Unit cell a=4.433 b=4.433 c=3.820 alpha=90.00 beta=90.00 gamma=90.00
Space group P4/mmm (No. 123)
Asymmetric unit:
V 0.000 0.000 0.000 (multiplicity 1)
Zn 0.500 0.500 0.000 (multiplicity 1)
B 0.500 0.500 0.500 (multiplicity 1)
S 0.000 0.500 0.500 (multiplicity 2)

Formation energy from raw total energies, eV per atom: 0.8189
Total DFT energy (no corrections), eV per atom: -4.246
Magnetic moment, μB/f.u.: 0.0

---

An optimized crystal structure of LaZnCd. Source: the Alexandria database, functional PBE-GGA.

Unit cell a=7.227 b=7.227 c=7.227 alpha=90.00 beta=90.00 gamma=90.00
Space group F-43m (No. 216)
Asymmetric unit:
La 0.000 0.000 0.000 (multiplicity 4)
Zn 0.250 0.250 0.250 (multiplicity 4)
Cd 0.250 0.250 0.750 (multiplicity 4)

Total DFT energy (no corrections), eV per atom: -2.235
Magnetic moment, μB/f.u.: 0.0